Entry 1:
Compound: Ho2Be4GaPt3
Source: Alexandria
Functional: GGA-PBE
Structure: relaxed

Lattice parameters (Å, degrees): 3.965 3.965 9.744 90.00 90.00 90.00
Sites, in units of the cell vectors:
Pt (0.500, 0.000, 0.877)
Pt (0.000, 0.500, 0.123)
Pt (0.000, 0.000, 0.500)
Be (0.000, 0.000, 0.000)
Be (0.500, 0.500, 0.000)
Be (0.500, 0.000, 0.637)
Be (0.000, 0.500, 0.363)
Ho (0.500, 0.000, 0.248)
Ho (0.000, 0.500, 0.752)
Ga (0.500, 0.500, 0.500)

Properties
Symmetry = P-4m2 (115)
Mass density = 11067 kg/m3
Formation energy = -765 meV per atom

---

Entry 2:
Compound: HoBeGaPt2
Source: Alexandria
Functional: GGA-PBE
Structure: relaxed

Lattice parameters (Å, degrees): 3.810 3.810 6.547 106.92 106.92 90.00
Sites, in units of the cell vectors:
Pt (0.616, 0.616, 0.231)
Pt (0.384, 0.384, 0.769)
Ga (0.750, 0.250, 0.500)
Ho (0.000, 0.000, 0.000)
Be (0.250, 0.750, 0.500)

Properties
Symmetry = I-4m2 (119)
Mass density = 12150 kg/m3
Formation energy = -869 meV per atom

---

Entry 3:
Compound: Ho3Be2GaPt9
Source: Alexandria
Functional: GGA-PBE
Structure: relaxed

Lattice parameters (Å, degrees): 5.717 5.717 9.476 90.00 90.00 120.00
Sites, in units of the cell vectors:
Pt (0.000, 0.500, 0.000)
Pt (0.670, 0.835, 0.301)
Pt (0.835, 0.165, 0.699)
Pt (0.500, 0.000, 0.000)
Pt (0.500, 0.500, 0.000)
Pt (0.835, 0.670, 0.699)
Pt (0.165, 0.835, 0.301)
Pt (0.330, 0.165, 0.699)
Pt (0.165, 0.330, 0.301)
Be (0.333, 0.667, 0.152)
Be (0.667, 0.333, 0.848)
Ho (0.333, 0.667, 0.603)
Ho (0.667, 0.333, 0.397)
Ho (0.000, 0.000, 0.000)
Ga (0.000, 0.000, 0.500)

Properties
Symmetry = P-3m1 (164)
Mass density = 14479 kg/m3
Formation energy = -853 meV per atom

---

Entry 4:
Compound: Ho2BeGa3Pt4
Source: Alexandria
Functional: GGA-PBE
Structure: relaxed

Lattice parameters (Å, degrees): 4.064 4.064 10.842 90.00 90.00 90.00
Sites, in units of the cell vectors:
Be (0.500, 0.500, 0.500)
Ga (0.500, 0.000, 0.860)
Ga (0.000, 0.000, 0.500)
Ga (0.000, 0.500, 0.140)
Pt (0.000, 0.500, 0.369)
Pt (0.500, 0.000, 0.631)
Pt (0.000, 0.000, 0.000)
Pt (0.500, 0.500, 0.000)
Ho (0.500, 0.000, 0.262)
Ho (0.000, 0.500, 0.738)

Properties
Symmetry = P-4m2 (115)
Mass density = 12317 kg/m3
Formation energy = -896 meV per atom

---

Record order is preserved below.
Total magnetic moment: 0.0; 0.0; 0.0; 0.0 μB/f.u.